ZrCuTe2 PBEsol optimized geometry; total moment = 0.000 μB per atom; formation energy from raw total energies = -0.147 eV/atom; space group = Fm-3m (225); total energy = -5.266 eV/atom
1.0
-0.8741 -1.2988 4.6948
1.0749 -4.5781 1.5420
3.7799 -0.7408 3.1073
Te Zr Cu
2 1 1
Cartesian
2.9855 -4.9633 7.0080
0.9952 -1.6544 2.3360
1.9903 -3.3088 4.6720
0.0000 0.0000 0.0000